Entry 1:
# Pr4Nd4Ho

A relaxed structure of Pr4Nd4Ho (PBE, Alexandria via LeMat-Bulk).

The value obtained for the total magnetization is 0.000 μB per formula unit. Its energy of formation from the pure elements is 0.014 eV per atom. Its uncorrected energy is -4.7381 eV/atom. As for the density: 6.84 g cm⁻³.

The structure belongs to space group C2/m (No. 12); the cell edges are 15.6065, 5.2128 and 8.2178 Å and the angles 90.00°, 108.55° and 90.00°. The inequivalent atoms are Pr at (0.1653, 0.0000, 0.0005), Pr at (0.2214, 0.5000, 0.3326), Nd at (0.0551, 0.0000, 0.3328), Nd at (0.1104, 0.5000, 0.6686) and Ho at (0.0000, 0.5000, 0.0000).

---

Entry 2:
# LaMgAl2Zn

A relaxed structure of LaMgAl2Zn (PBE, Alexandria via LeMat-Bulk).

The value obtained for the total magnetization is 0.000 μB per formula unit. Its energy of formation from the pure elements is 1.232 eV per atom. Its uncorrected energy is -1.8246 eV/atom. As for the density: 2.18 g cm⁻³.

The structure belongs to space group P4/mmm (No. 123); the cell edges are 5.8075, 5.8075 and 6.3789 Å and the angles 90.00°, 90.00° and 90.00°. The inequivalent atoms are La at (0.0000, 0.0000, 0.0000), Mg at (0.0000, 0.0000, 0.5000), Al at (0.0000, 0.5000, 0.0000) and Zn at (0.5000, 0.5000, 0.5000).

---

> Number 2 is which compound?

LaMgAl2Zn

---

What did the second record say?
# LaMgAl2Zn

A relaxed structure of LaMgAl2Zn (PBE, Alexandria via LeMat-Bulk).

The value obtained for the total magnetization is 0.000 μB per formula unit. Its energy of formation from the pure elements is 1.232 eV per atom. Its uncorrected energy is -1.8246 eV/atom. As for the density: 2.18 g cm⁻³.

The structure belongs to space group P4/mmm (No. 123); the cell edges are 5.8075, 5.8075 and 6.3789 Å and the angles 90.00°, 90.00° and 90.00°. The inequivalent atoms are La at (0.0000, 0.0000, 0.0000), Mg at (0.0000, 0.0000, 0.5000), Al at (0.0000, 0.5000, 0.0000) and Zn at (0.5000, 0.5000, 0.5000).

---

> The lowest uncorrected energy belongs to which entry?

Pr4Nd4Ho